# ThAl2ZnPd

ThAl2ZnPd after structural relaxation (PBE, the Alexandria database).

Computed properties:
crystal system: tetragonal
formation energy from the elements: -56 kJ/mol of atoms

abc: 4.3333 4.3333 6.0314
angles: 111.05 111.05 90.00
Closest atoms and distances in Å follow each position.
Fractional positions:
Th 0.0000 0.0000 0.0000  8 Al 3.32, 4 Pd 3.38, 4 Zn 3.38
Al 0.6226 0.6226 0.2452  2 Pd 2.54, 2 Zn 2.54, 1 Al 2.55
Zn 0.2500 0.7500 0.5000  4 Al 2.54
Al 0.3774 0.3774 0.7548  2 Pd 2.54, 2 Zn 2.54, 1 Al 2.55
Pd 0.7500 0.2500 0.5000  4 Al 2.54